[1]
# BeIr3 | the Alexandria database | PBE | relaxed
# **Energy relative to the elements**: 10 meV/atom
# **ρ**: 17.96 g/cm3
# **Density of states at the Fermi level**: 3.43 states/eV/f.u.
data_BeIr3
_space_group_name_H-M_alt 'P m -3 m'
_space_group_IT_number 221
_space_group_name_Hall '-P 4 2 3'
_cell_length_a 3.7831
_cell_length_b 3.7831
_cell_length_c 3.7831
_cell_angle_alpha 90.00
_cell_angle_beta 90.00
_cell_angle_gamma 90.00
loop_
_atom_site_label
_atom_site_fract_x
_atom_site_fract_y
_atom_site_fract_z
Be1 0.0000 0.0000 0.0000
Ir1 0.0000 0.5000 0.5000



[2]
# ZrHgMo2 | the Alexandria database | PBE | relaxed
# **Energy relative to the elements**: 252 meV/atom
# **ρ**: 11.00 g/cm3
# **Density of states at the Fermi level**: 3.52 states/eV/f.u.
data_ZrHgMo2
_space_group_name_H-M_alt 'I -4 m 2'
_space_group_IT_number 119
_space_group_name_Hall 'I -4 -2'
_cell_length_a 4.3505
_cell_length_b 4.3505
_cell_length_c 7.7176
_cell_angle_alpha 90.00
_cell_angle_beta 90.00
_cell_angle_gamma 90.00
loop_
_atom_site_label
_atom_site_fract_x
_atom_site_fract_y
_atom_site_fract_z
Zr1 0.0000 0.0000 0.0000
Hg1 0.0000 0.5000 0.7500
Mo1 0.0000 0.0000 0.5000
Mo2 0.0000 0.5000 0.2500



[3]
# Li2CaI4 | the Alexandria database | PBE | relaxed
# **ΔE_f (raw)**: -111 kJ per mole of atoms
# **ρ**: 3.24 g/cm3
# **Density of states at the Fermi level**: 0.00 states/eV/f.u.
# **Energy relative to the lowest polymorph listed for this composition**: 0.2136 eV per atom
data_Li2CaI4
_space_group_name_H-M_alt 'I 4/m m m'
_space_group_IT_number 139
_space_group_name_Hall '-I 4 2'
_cell_length_a 6.1845
_cell_length_b 6.1845
_cell_length_c 15.0615
_cell_angle_alpha 90.00
_cell_angle_beta 90.00
_cell_angle_gamma 90.00
loop_
_atom_site_label
_atom_site_fract_x
_atom_site_fract_y
_atom_site_fract_z
Li1 0.0000 0.0000 0.1269
Ca1 0.0000 0.0000 0.5000
I1 0.0000 0.0000 0.2986
I2 0.0000 0.5000 0.0000



[4]
# CdP | the Alexandria database | PBE | relaxed
# **Energy relative to the elements**: 279 meV/atom
# **ρ**: 6.02 g/cm3
# **Density of states at the Fermi level**: 1.06 states/eV/f.u.
# **Energy relative to the lowest polymorph listed for this composition**: 0.3210 eV per atom
data_CdP
_space_group_name_H-M_alt 'I m m m'
_space_group_IT_number 71
_space_group_name_Hall '-I 2 2'
_cell_length_a 3.0574
_cell_length_b 4.7856
_cell_length_c 5.4039
_cell_angle_alpha 90.00
_cell_angle_beta 90.00
_cell_angle_gamma 90.00
loop_
_atom_site_label
_atom_site_fract_x
_atom_site_fract_y
_atom_site_fract_z
Cd1 0.0000 0.0000 0.0000
P1 0.0000 0.0000 0.5000



Repeat the first record exactly.
# BeIr3 | the Alexandria database | PBE | relaxed
# **Energy relative to the elements**: 10 meV/atom
# **ρ**: 17.96 g/cm3
# **Density of states at the Fermi level**: 3.43 states/eV/f.u.
data_BeIr3
_space_group_name_H-M_alt 'P m -3 m'
_space_group_IT_number 221
_space_group_name_Hall '-P 4 2 3'
_cell_length_a 3.7831
_cell_length_b 3.7831
_cell_length_c 3.7831
_cell_angle_alpha 90.00
_cell_angle_beta 90.00
_cell_angle_gamma 90.00
loop_
_atom_site_label
_atom_site_fract_x
_atom_site_fract_y
_atom_site_fract_z
Be1 0.0000 0.0000 0.0000
Ir1 0.0000 0.5000 0.5000